# Zr2SiPb

Zr2SiPb after structural relaxation (GGA-PBEsol, Alexandria via LeMat-Bulk).

a b c (Å): 3.149 3.149 8.107
angles (deg): 90.00 90.00 90.00
Fractional positions:
Zr: 0.000 0.000 0.216
Zr: 0.000 0.000 0.784
Si: 0.500 0.500 0.000
Pb: 0.500 0.500 0.500

ρ ... 8.6 g/cm³
Uncorrected energy ... -7.370 eV/atom
V ... 80.4 Å³/cell
Symmetry ... P4/mmm (123)
DOS(E_F) ... 3.01 states/eV/cell
Excess energy over the best structure of this formula in the dataset ... 0.050 eV/atom